Record 1
VASP calculation (PBE-GGA) on an optimized crystal structure of Ge3BRh.

abc: 4.2859 4.2859 4.2859
angles: 90.00 90.00 90.00
Last column: nearest neighbours and their distance in Å.
Space group Pm-3m (No. 221)
Inequivalent atoms, fractional coordinates:
Ge 0.0000 0.0000 0.5000 x3  2 B 2.14
B 0.0000 0.0000 0.0000 x1  6 Ge 2.14
Rh 0.5000 0.5000 0.5000 x1  12 Ge 3.03

Computed properties:
Total moment in μB/f.u.: 0.00
ΔE to the lowest computed polymorph in eV per formula unit: 0.000
D(E_F) in states/eV/cell: 3.9
Formation enthalpy at 0 K in eV/atom: 0.67

Record 2
VASP calculation (PBE-GGA) on an optimized crystal structure of Pm2Nd6SmY3.

abc: 6.3274 10.9610 12.0192
angles: 90.00 100.09 90.00
Last column: nearest neighbours and their distance in Å.
Space group C2/m (No. 12)
Inequivalent atoms, fractional coordinates:
Pm 0.0000 0.1667 0.0000 x4  6 Nd 3.65, 3 Pm 3.65-3.66, 3 Sm 3.65
Nd 0.2492 0.1666 0.7480 x8  3 Y 3.61, 6 Nd 3.65, 2 Pm 3.65, 1 Sm 3.65
Nd 0.2490 0.5000 0.7480 x4  3 Y 3.61, 1 Sm 3.65, 6 Nd 3.65, 2 Pm 3.65
Sm 0.0000 0.5000 0.0000 x2  6 Nd 3.65, 6 Pm 3.65
Y 0.0000 0.0000 0.5000 x2  6 Nd 3.61, 6 Y 3.65
Y 0.0000 0.3334 0.5000 x4  6 Nd 3.61, 6 Y 3.65

Computed properties:
Total moment in μB/f.u.: 0.00
D(E_F) in states/eV/cell: 31.8
Formation enthalpy at 0 K in eV/atom: 0.01

Record 3
VASP calculation (PBE-GGA) on an optimized crystal structure of PmNiPt3.

abc: 5.3343 8.3729 8.5721
angles: 90.00 90.00 90.00
Last column: nearest neighbours and their distance in Å.
Space group Imma (No. 74)
Inequivalent atoms, fractional coordinates:
Pm 0.0000 0.2500 0.0245 x4  7 Pt 3.05-3.15, 4 Ni 3.40
Ni 0.0000 0.0000 0.5000 x4  6 Pt 2.49-2.53
Pt 0.0000 0.2500 0.6575 x4  2 Ni 2.49, 4 Pt 2.73
Pt 0.2500 0.0180 0.2500 x8  2 Ni 2.53, 4 Pt 2.67-2.73

Computed properties:
Total moment in μB/f.u.: 0.00
D(E_F) in states/eV/cell: 18.4
Formation enthalpy at 0 K in eV/atom: -0.59

Record 4
VASP calculation (PBE-GGA) on an optimized crystal structure of PmEr5Tl4.

abc: 3.5921 3.5921 21.7236
angles: 90.00 90.00 90.00
Last column: nearest neighbours and their distance in Å.
Space group P4/mmm (No. 123)
Inequivalent atoms, fractional coordinates:
Pm 0.0000 0.0000 0.0000 x1  8 Er 3.59, 4 Pm 3.59
Er 0.5000 0.5000 0.1165 x2  4 Tl 3.28, 4 Pm 3.59, 4 Er 3.59
Er 0.5000 0.5000 0.3076 x2  8 Tl 3.28-3.29, 4 Er 3.59
Er 0.5000 0.5000 0.5000 x1  8 Tl 3.29, 4 Er 3.59
Tl 0.0000 0.0000 0.2122 x2  8 Er 3.28, 4 Tl 3.59
Tl 0.0000 0.0000 0.4041 x2  8 Er 3.29, 4 Tl 3.59

Computed properties:
Total moment in μB/f.u.: 0.15
D(E_F) in states/eV/cell: 8.6
Formation enthalpy at 0 K in eV/atom: -0.26

Record 5
VASP calculation (PBE-GGA) on an optimized crystal structure of RbLaTlSe3.

abc: 8.8254 4.8499 10.6680
angles: 90.00 106.65 90.00
Last column: nearest neighbours and their distance in Å.
Space group P2_1/m (No. 11)
Inequivalent atoms, fractional coordinates:
Rb 0.2432 0.2500 0.2536 x2  4 Se 3.58-3.70
La 0.3115 0.7500 0.8705 x2  6 Se 2.91-3.24
Tl 0.1105 0.2500 0.6047 x2  4 Se 2.79-3.07
Se 0.0848 0.2500 0.8609 x2  1 Tl 2.81, 2 La 3.13
Se 0.2397 0.7500 0.5556 x2  3 Tl 2.79-3.07
Se 0.4792 0.7500 0.1482 x2  3 La 2.91-3.09

Computed properties:
Formation energy without anion corrections in eV/f.u.: -7.12
Total moment in μB/f.u.: 0.00
D(E_F) in states/eV/cell: 3.1

Record 6
VASP calculation (PBE-GGA) on an optimized crystal structure of LiTbSm2.

abc: 3.5469 3.5469 34.1078
angles: 90.00 90.00 120.00
Last column: nearest neighbours and their distance in Å.
Space group R3m (No. 160, hexagonal axes)
Inequivalent atoms, fractional coordinates:
Li 0.0000 0.0000 0.0000 x3  6 Sm 3.46, 6 Li 3.55
Tb 0.0000 0.0000 0.8333 x3  6 Sm 3.54-3.55, 6 Tb 3.55
Sm 0.0000 0.0000 0.2516 x3  3 Li 3.46, 6 Sm 3.55, 3 Tb 3.55
Sm 0.0000 0.0000 0.4152 x3  3 Li 3.46, 3 Tb 3.54, 6 Sm 3.55

Computed properties:
Total moment in μB/f.u.: 0.00
ΔE to the lowest computed polymorph in eV per formula unit: 0.043
D(E_F) in states/eV/cell: 10.2
Formation enthalpy at 0 K in eV/atom: 0.08

Record 7
VASP calculation (PBE-GGA) on an optimized crystal structure of Tl7In3Bi2.

abc: 6.3088 3.4998 16.8852
angles: 90.00 93.59 90.00
Last column: nearest neighbours and their distance in Å.
Space group P2/m (No. 10)
Inequivalent atoms, fractional coordinates:
Tl 0.0000 0.0000 0.0000 x1  8 Tl 3.48-3.56, 4 In 3.61
Tl 0.1876 0.5000 0.1743 x2  3 In 3.39-3.64, 1 Bi 3.44, 8 Tl 3.50-3.62
Tl 0.2498 0.5000 0.4783 x2  4 Tl 3.20-3.50, 2 In 3.28, 2 Bi 3.36-3.41
Tl 0.3137 0.0000 0.8379 x2  3 In 3.40-3.41, 2 Bi 3.44, 7 Tl 3.48-3.62
In 0.4135 0.0000 0.3298 x2  5 Tl 3.28-3.41, 2 Bi 3.31, 2 In 3.50
In 0.5000 0.5000 0.0000 x1  10 Tl 3.40-3.64, 2 In 3.50
Bi 0.1407 0.5000 0.6706 x2  2 In 3.31, 5 Tl 3.36-3.44, 2 Bi 3.50

Computed properties:
Total moment in μB/f.u.: 0.00
D(E_F) in states/eV/cell: 4.7
Formation enthalpy at 0 K in eV/atom: 0.03

Record 8
VASP calculation (PBE-GGA) on an optimized crystal structure of Na5B7C3.

abc: 4.9425 8.6049 7.6371
angles: 90.00 106.43 90.00
Last column: nearest neighbours and their distance in Å.
Space group P2_1/m (No. 11)
Inequivalent atoms, fractional coordinates:
Na 0.0000 0.0000 0.0000 x2  4 C 2.67-2.77, 8 B 2.70-2.76, 6 Na 2.83-2.93
Na 0.1991 0.0022 0.3998 x4  9 B 2.63-2.81, 3 C 2.71-2.75, 5 Na 2.82-2.94
Na 0.4038 0.0002 0.8019 x4  8 B 2.66-2.90, 4 C 2.68-2.81, 6 Na 2.82-2.95
B 0.0621 0.2500 0.8012 x2  3 C 1.60-1.66
B 0.0892 0.7500 0.8067 x2  3 B 1.73-1.78
B 0.0991 0.7500 0.5749 x2  1 C 1.55
B 0.2698 0.2500 0.1932 x2  1 C 1.65, 2 B 1.69-1.77
B 0.3553 0.7500 0.0102 x2  2 C 1.63, 1 B 1.73
B 0.4628 0.7500 0.6121 x2  3 B 1.69-1.83
B 0.4795 0.2500 0.6144 x2  2 C 1.58-1.64
C 0.1442 0.2500 0.6055 x2  3 B 1.55-1.66
C 0.2718 0.7500 0.2024 x2  3 B 1.58-1.64
C 0.3135 0.2500 0.9874 x2  3 B 1.60-1.65

Computed properties:
Total moment in μB/f.u.: 0.00
ΔE to the lowest computed polymorph in eV per formula unit: 0.352
D(E_F) in states/eV/cell: 3.7
Formation enthalpy at 0 K in eV/atom: 0.14

Record 9
VASP calculation (PBE-GGA) on an optimized crystal structure of BaV3Se.

abc: 4.8423 4.8423 4.8423
angles: 90.00 90.00 90.00
Last column: nearest neighbours and their distance in Å.
Space group Pm-3m (No. 221)
Inequivalent atoms, fractional coordinates:
Ba 0.0000 0.0000 0.0000 x1  6 V 2.42
V 0.0000 0.0000 0.5000 x3  2 Ba 2.42
Se 0.5000 0.5000 0.5000 x1  12 V 3.42

Computed properties:
Formation energy without anion corrections in eV/f.u.: 12.01
Total moment in μB/f.u.: 1.11
ΔE to the lowest computed polymorph in eV per formula unit: 8.421
D(E_F) in states/eV/cell: 7.3

Record 10
VASP calculation (PBE-GGA) on an optimized crystal structure of K3Np3InSe8.

abc: 14.6763 8.4214 9.1594
angles: 90.00 122.30 90.00
Last column: nearest neighbours and their distance in Å.
Space group C2/m (No. 12)
Inequivalent atoms, fractional coordinates:
K 0.0000 0.0000 0.0000 x2  6 Se 3.34-3.36
K 0.2500 0.2500 0.0000 x4  6 Se 3.33-3.38
Np 0.0000 0.5000 0.5000 x2  6 Se 2.89-2.92
Np 0.2500 0.2500 0.5000 x4  6 Se 2.87-2.91
In 0.0000 0.0000 0.5000 x2  6 Se 2.87-2.90
Se 0.0165 0.2487 0.3007 x8  1 In 2.87, 2 Np 2.89-2.90
Se 0.2338 0.0000 0.6986 x4  2 Np 2.87, 1 In 2.90
Se 0.2353 0.5000 0.7061 x4  3 Np 2.91-2.92

Computed properties:
Formation energy without anion corrections in eV/f.u.: -16.52
Total moment in μB/f.u.: 3.71
D(E_F) in states/eV/cell: 42.5

Record 11
VASP calculation (PBE-GGA) on an optimized crystal structure of NbSi2Au2.

abc: 7.0841 7.0841 3.3127
angles: 90.00 90.00 90.00
Last column: nearest neighbours and their distance in Å.
Space group P4/mbm (No. 127)
Inequivalent atoms, fractional coordinates:
Nb 0.0000 0.0000 0.0000 x2  4 Si 2.69
Si 0.1524 0.3476 0.0000 x4  6 Au 2.59-2.70, 2 Nb 2.69
Au 0.1494 0.6494 0.5000 x4  6 Si 2.59-2.70

Computed properties:
Formation energy without anion corrections in eV/f.u.: 0.21
Total moment in μB/f.u.: 0.00
D(E_F) in states/eV/cell: 6.9

Record 12
VASP calculation (PBE-GGA) on an optimized crystal structure of SrTl2Pb.

abc: 4.1580 4.1580 7.5456
angles: 90.00 90.00 90.00
Last column: nearest neighbours and their distance in Å.
Space group P4mm (No. 99)
Inequivalent atoms, fractional coordinates:
Sr 0.0000 0.0000 0.0000 x1  6 Tl 3.59-3.79, 4 Pb 3.63
Tl 0.0000 0.0000 0.4972 x1  4 Pb 3.38, 4 Tl 3.39, 1 Sr 3.75
Tl 0.5000 0.5000 0.2739 x1  1 Pb 3.35, 4 Tl 3.39, 4 Sr 3.59
Pb 0.5000 0.5000 0.7175 x1  5 Tl 3.35-3.38, 4 Sr 3.63

Computed properties:
Total moment in μB/f.u.: 0.00
D(E_F) in states/eV/cell: 2.1
Formation enthalpy at 0 K in eV/atom: -0.22

Record 13
VASP calculation (PBE-GGA) on an optimized crystal structure of CsInTe3As.

abc: 9.9828 4.3710 11.6028
angles: 90.00 109.44 90.00
Last column: nearest neighbours and their distance in Å.
Space group P2_1/m (No. 11)
Inequivalent atoms, fractional coordinates:
Cs 0.2165 0.2500 0.2467 x2  5 Te 3.90-4.05, 2 In 4.13
In 0.0619 0.2500 0.6327 x2  4 Te 2.87-3.10
Te 0.1423 0.2500 0.8947 x2  1 In 2.87, 2 As 3.02
Te 0.2270 0.7500 0.5778 x2  3 In 2.93-3.10
Te 0.4761 0.7500 0.1387 x2  3 As 2.86-2.88
As 0.3436 0.7500 0.8787 x2  5 Te 2.86-3.02

Computed properties:
Formation energy without anion corrections in eV/f.u.: -2.09
Total moment in μB/f.u.: 0.00
D(E_F) in states/eV/cell: 3.6

Record 14
VASP calculation (PBE-GGA) on an optimized crystal structure of CaLa2PrRu.

abc: 5.5912 5.5912 5.7612
angles: 90.00 90.00 90.00
Last column: nearest neighbours and their distance in Å.
Space group P4/mmm (No. 123)
Inequivalent atoms, fractional coordinates:
Ca 0.0000 0.0000 0.0000 x1  4 Pr 3.95, 8 La 4.01
La 0.0000 0.5000 0.5000 x2  2 Ru 2.80
Pr 0.5000 0.5000 0.0000 x1  2 Ru 2.88
Ru 0.5000 0.5000 0.5000 x1  4 La 2.80, 2 Pr 2.88

Computed properties:
Total moment in μB/f.u.: 0.00
D(E_F) in states/eV/cell: 4.1
Formation enthalpy at 0 K in eV/atom: -0.14

Record 15
VASP calculation (PBE-GGA) on an optimized crystal structure of CaCr3.

abc: 8.4979 2.8927 5.8703
angles: 90.00 94.57 90.00
Last column: nearest neighbours and their distance in Å.
Space group C2/m (No. 12)
Inequivalent atoms, fractional coordinates:
Ca 0.0000 0.0000 0.0000 x2  2 Ca 2.89, 2 Cr 3.10
Cr 0.0000 0.5000 0.5000 x2  6 Cr 2.38-2.59
Cr 0.2427 0.0000 0.6328 x4  3 Cr 2.14-2.38

Computed properties:
Total moment in μB/f.u.: 0.00
D(E_F) in states/eV/cell: 7.9
Formation enthalpy at 0 K in eV/atom: 0.77

Record 16
VASP calculation (PBE-GGA) on an optimized crystal structure of NiSe3.

abc: 7.8369 7.8369 3.3557
angles: 90.00 90.00 120.00
Last column: nearest neighbours and their distance in Å.
Space group P6_3/mmc (No. 194)
Inequivalent atoms, fractional coordinates:
Ni 0.3333 0.6667 0.2500 x2  6 Se 2.39
Se 0.2084 0.4169 0.7500 x6  2 Ni 2.39

Computed properties:
Formation energy without anion corrections in eV/f.u.: 0.34
Total moment in μB/f.u.: 0.00
D(E_F) in states/eV/cell: 6.6